## La4Cd2N (GGA-PBE)

Data for a geometry-optimized La4Cd2N structure.

a b c (Å): 5.1850 25.6149 3.4349
angles (deg): 90.00 90.00 90.00
Closest atoms and distances in Å follow each position.
Space group Cmmm (No. 65)
Symmetry-distinct sites (fractional):
La: 0.0000 0.0650 0.0000 [4 per cell]  2 N 2.39
La: 0.0000 0.2044 0.5000 [4 per cell]  4 Cd 3.33, 4 La 3.43-3.49
Cd: 0.0000 0.3418 0.0000 [4 per cell]  6 La 3.33-3.52, 2 Cd 3.43
N: 0.0000 0.0000 0.5000 [2 per cell]  4 La 2.39

Properties
**E above lowest polymorph**: 22.3 kJ/mol of atoms
**ΔE_f (raw)**: -0.311 eV per atom

## BaZr6O12 (GGA-PBE)

Data for a geometry-optimized BaZr6O12 structure.

a b c (Å): 10.4400 10.4400 7.8380
angles (deg): 90.00 90.00 120.00
Closest atoms and distances in Å follow each position.
Space group R-3m (No. 166, hexagonal axes)
Symmetry-distinct sites (fractional):
Ba: 0.0000 0.0000 0.0000 [3 per cell]  18 O 3.26-3.54
Zr: 0.0720 0.5360 0.2968 [18 per cell]  5 O 2.09-2.23
O: 0.0000 0.3735 0.5000 [18 per cell]  4 Zr 2.17-2.42
O: 0.0893 0.1787 0.3618 [18 per cell]  3 Zr 2.09-2.23

Properties
**ΔE_f (raw)**: -2.873 eV per atom

## Ag4SnHg (GGA-PBE)

Data for a geometry-optimized Ag4SnHg structure.

a b c (Å): 6.7814 7.8163 9.6458
angles (deg): 90.00 110.40 90.00
Closest atoms and distances in Å follow each position.
Space group C2/m (No. 12)
Symmetry-distinct sites (fractional):
Ag: 0.1517 0.0000 0.3266 [4 per cell]  6 Ag 2.94-3.22, 1 Hg 2.95, 4 Sn 3.02-3.03
Ag: 0.1641 0.2563 0.8307 [8 per cell]  5 Ag 2.94-3.06, 4 Hg 2.97-3.05, 1 Sn 2.99
Ag: 0.1761 0.5000 0.3266 [4 per cell]  6 Ag 2.94-3.22, 1 Hg 2.95, 4 Sn 3.03
Sn: 0.0000 0.2589 0.5000 [4 per cell]  10 Ag 2.99-3.03
Hg: 0.0000 0.0000 0.0000 [2 per cell]  10 Ag 2.95-3.03
Hg: 0.0000 0.5000 0.0000 [2 per cell]  10 Ag 2.95-3.05

Properties
**Formation energy from the elements**: 41 meV per atom
**E above lowest polymorph**: 0.0 kJ/mol of atoms

## Tb3Sm4Ho4 (GGA-PBE)

Data for a geometry-optimized Tb3Sm4Ho4 structure.

a b c (Å): 3.5397 11.2769 18.2988
angles (deg): 90.00 90.00 90.00
Closest atoms and distances in Å follow each position.
Space group Immm (No. 71)
Symmetry-distinct sites (fractional):
Tb: 0.0000 0.0000 0.0000 [2 per cell]  2 Tb 3.54, 6 Sm 3.71-3.93
Tb: 0.0000 0.5000 0.1083 [4 per cell]  3 Tb 3.54-3.96, 4 Ho 3.55, 6 Sm 3.57-3.69
Sm: 0.0000 0.0000 0.2148 [4 per cell]  6 Ho 3.39-3.53, 2 Sm 3.54, 2 Tb 3.69
Sm: 0.0000 0.2112 0.5000 [4 per cell]  2 Ho 3.17, 2 Sm 3.54
Ho: 0.0000 0.2531 0.3285 [8 per cell]  4 Sm 3.17-3.53, 4 Ho 3.37-3.54, 2 Tb 3.55

Properties
**Formation energy from the elements**: 176 meV per atom
**E above lowest polymorph**: 2.3 kJ/mol of atoms

## NaAgBF4 (GGA-PBE)

Data for a geometry-optimized NaAgBF4 structure.

a b c (Å): 5.2454 7.7299 11.2833
angles (deg): 90.00 90.00 90.00
Closest atoms and distances in Å follow each position.
Space group Imma (No. 74)
Symmetry-distinct sites (fractional):
Na: 0.0000 0.0000 0.0000 [4 per cell]  4 F 2.43
Ag: 0.2500 0.2500 0.2500 [4 per cell]  2 Ag 2.62
B: 0.0000 0.2500 0.5975 [4 per cell]  4 F 1.39-1.45
F: 0.0000 0.0991 0.6647 [8 per cell]  1 B 1.39
F: 0.2247 0.2500 0.5225 [8 per cell]  1 B 1.45

Properties
**ΔE_f (raw)**: -2.261 eV per atom

## Ce7Cd2Ir2 (GGA-PBE)

Data for a geometry-optimized Ce7Cd2Ir2 structure.

a b c (Å): 3.6888 16.7147 9.4498
angles (deg): 90.00 90.00 90.00
Closest atoms and distances in Å follow each position.
Space group Imm2 (No. 44)
Symmetry-distinct sites (fractional):
Ce: 0.0000 0.0000 0.0000 [2 per cell]  2 Ir 3.47, 3 Cd 3.54-3.66, 6 Ce 3.65-3.69
Ce: 0.0000 0.1587 0.5953 [4 per cell]  2 Ir 2.96, 2 Ce 3.11, 1 Cd 3.30
Ce: 0.0000 0.3292 0.3593 [4 per cell]  2 Ir 2.80, 2 Ce 3.11
Ce: 0.0000 0.3501 0.7716 [4 per cell]  2 Ir 2.77
Cd: 0.0000 0.0000 0.3870 [2 per cell]  7 Ce 3.30-3.66, 4 Cd 3.33-3.69
Cd: 0.0000 0.5000 0.1807 [2 per cell]  8 Ce 3.32-3.54, 4 Cd 3.33-3.69
Ir: 0.0000 0.2035 0.0740 [4 per cell]  6 Ce 2.77-2.96

Properties
**Formation energy from the elements**: -306 meV per atom

## CaScSi (GGA-PBE)

Data for a geometry-optimized CaScSi structure.

a b c (Å): 6.7481 6.7481 6.7481
angles (deg): 90.00 90.00 90.00
Closest atoms and distances in Å follow each position.
Space group F-43m (No. 216)
Symmetry-distinct sites (fractional):
Ca: 0.0000 0.0000 0.0000 [4 per cell]  4 Si 2.92
Sc: 0.0000 0.0000 0.5000 [4 per cell]  4 Si 2.92
Si: 0.2500 0.2500 0.7500 [4 per cell]  4 Ca 2.92, 4 Sc 2.92

Properties
**ΔE_f (raw)**: -0.346 eV per atom

## KNa12Sb4 (GGA-PBE)

Data for a geometry-optimized KNa12Sb4 structure.

a b c (Å): 12.0275 12.0275 12.0275
angles (deg): 90.00 90.00 90.00
Closest atoms and distances in Å follow each position.
Space group Im-3 (No. 204)
Symmetry-distinct sites (fractional):
K: 0.0000 0.0000 0.0000 [2 per cell]  12 Na 4.30
Na: 0.0000 0.2429 0.2620 [24 per cell]  2 Sb 3.01
Sb: 0.2500 0.2500 0.2500 [8 per cell]  6 Na 3.01

Properties
**ΔE_f (raw)**: -0.251 eV per atom

## RbSc3I (GGA-PBE)

Data for a geometry-optimized RbSc3I structure.

a b c (Å): 5.3921 5.3921 5.3921
angles (deg): 90.00 90.00 90.00
Closest atoms and distances in Å follow each position.
Space group Pm-3m (No. 221)
Symmetry-distinct sites (fractional):
Rb: 0.0000 0.0000 0.0000 [1 per cell]  6 Sc 2.70
Sc: 0.0000 0.0000 0.5000 [3 per cell]  2 Rb 2.70
I: 0.5000 0.5000 0.5000 [1 per cell]  12 Sc 3.81

Properties
**E above lowest polymorph**: 85.6 kJ/mol of atoms
**ΔE_f (raw)**: 1.486 eV per atom

## MgMnBe2Ge (GGA-PBE)

Data for a geometry-optimized MgMnBe2Ge structure.

a b c (Å): 4.2174 4.2174 4.7027
angles (deg): 90.00 90.00 90.00
Closest atoms and distances in Å follow each position.
Space group P4/mmm (No. 123)
Symmetry-distinct sites (fractional):
Mg: 0.0000 0.0000 0.0000 [1 per cell]  4 Mn 2.98, 8 Be 3.16
Mn: 0.5000 0.5000 0.0000 [1 per cell]  2 Ge 2.35
Be: 0.0000 0.5000 0.5000 [2 per cell]  2 Ge 2.11
Ge: 0.5000 0.5000 0.5000 [1 per cell]  4 Be 2.11, 2 Mn 2.35

Properties
**Formation energy from the elements**: 646 meV per atom

## MgSi4Au (GGA-PBE)

Data for a geometry-optimized MgSi4Au structure.

a b c (Å): 7.3442 7.3442 7.3442
angles (deg): 90.00 90.00 90.00
Closest atoms and distances in Å follow each position.
Space group F-43m (No. 216)
Symmetry-distinct sites (fractional):
Mg: 0.0000 0.0000 0.0000 [4 per cell]  12 Si 3.04, 4 Au 3.18
Si: 0.1253 0.1253 0.3747 [16 per cell]  6 Si 2.59-2.60
Au: 0.2500 0.2500 0.7500 [4 per cell]  12 Si 3.05, 4 Mg 3.18

Properties
**ΔE_f (raw)**: 0.311 eV per atom

## BaAc2Eu (GGA-PBE)

Data for a geometry-optimized BaAc2Eu structure.

a b c (Å): 9.1335 9.1335 9.1335
angles (deg): 90.00 90.00 90.00
Closest atoms and distances in Å follow each position.
Space group Fm-3m (No. 225)
Symmetry-distinct sites (fractional):
Ba: 0.0000 0.0000 0.0000 [4 per cell]  8 Ac 3.95
Ac: 0.2500 0.2500 0.2500 [8 per cell]  4 Ba 3.95, 4 Eu 3.95
Eu: 0.0000 0.0000 0.5000 [4 per cell]  8 Ac 3.95

Properties
**Formation energy from the elements**: 131 meV per atom
**E above lowest polymorph**: 5.4 kJ/mol of atoms

| no. | magnetic moment (Bohr magnetons per cell) |
| --- | --- |
| 1 | 0.00 |
| 2 | 4.68 |
| 3 | 0.00 |
| 4 | 0.00 |
| 5 | 0.00 |
| 6 | 8.43 |
| 7 | 0.00 |
| 8 | 0.00 |
| 9 | 0.00 |
| 10 | 3.09 |
| 11 | 0.00 |
| 12 | 30.42 |